1.
First-principles (meta-GGA SCAN) data for a PBEsol-optimized structure of SrSiAg, as listed in the Alexandria database.

abc: 3.5114 3.5114 6.0864
angles: 106.77 106.77 90.00
Fractional coordinates of all 3 atoms:
Si  0.6294  0.6294  0.2588
Sr  0.3312  0.3312  0.6625
Ag  0.0394  0.0394  0.0787

Computed properties:
Its space group is I4mm (107). The total energy comes out at -21.171 eV/atom.


2.
First-principles (meta-GGA SCAN) data for a PBEsol-optimized structure of RhSe2IBr, as listed in the Alexandria database.

abc: 5.3709 5.3709 5.3066
angles: 90.00 90.00 90.00
Fractional coordinates of all 5 atoms:
Se  0.5000  0.0000  0.0000
Br  0.0000  0.0000  0.5000
Se  0.0000  0.5000  0.0000
Rh  0.5000  0.5000  0.5000
I  0.0000  0.0000  0.0000

Computed properties:
Its space group is P4/mmm (123). The total energy comes out at -24.797 eV/atom.


3.
First-principles (meta-GGA SCAN) data for a PBEsol-optimized structure of HfZrAu3, as listed in the Alexandria database.

abc: 4.9502 4.9502 4.9502
angles: 90.00 90.00 90.00
Fractional coordinates of all 5 atoms:
Au  0.5000  0.0000  0.0000
Zr  0.5000  0.5000  0.5000
Au  0.0000  0.0000  0.5000
Au  0.0000  0.5000  0.0000
Hf  0.0000  0.0000  0.0000

Computed properties:
Its space group is Pm-3m (221). For the formation energy, the calculation gives 0.474 eV/atom.


4.
First-principles (meta-GGA SCAN) data for a PBEsol-optimized structure of Os2RuRh, as listed in the Alexandria database.

abc: 3.7862 3.7862 4.6585
angles: 113.98 113.98 90.00
Fractional coordinates of all 4 atoms:
Rh  0.0000  0.0000  0.0000
Ru  0.5000  0.5000  0.0000
Os  0.2500  0.7500  0.5000
Os  0.7500  0.2500  0.5000

Computed properties:
The energy above the lowest structure with this stoichiometry comes out at 22.3 meV per atom. Its space group is I4/mmm (139). For the formation energy, the calculation gives 0.117 eV/atom.


5.
First-principles (meta-GGA SCAN) data for a PBEsol-optimized structure of Li4La5Ti6Nb2O26, as listed in the Alexandria database.

abc: 5.4791 5.4839 17.1863
angles: 90.00 99.17 90.00
Fractional coordinates of all 43 atoms:
O  0.5000  0.5000  0.0000
O  0.7698  0.0000  0.5395
Nb  0.3224  0.5000  0.6448
Li  0.5000  0.2410  0.5000
Ti  0.5558  0.5000  0.1116
O  0.0809  0.7513  0.6671
Li  0.0000  0.7590  0.5000
O  0.9191  0.7513  0.3329
O  0.6806  0.2411  0.8808
La  0.6150  0.0000  0.2300
Li  0.5000  0.7590  0.5000
O  0.3864  0.5000  0.7727
La  0.3850  0.0000  0.7700
O  0.5862  0.2487  0.6671
Ti  0.0563  0.0000  0.1126
O  0.9191  0.2487  0.3329
O  0.3194  0.7589  0.1192
La  0.1143  0.5000  0.2286
O  0.4138  0.7513  0.3329
O  0.2002  0.2411  0.8808
O  0.7998  0.2411  0.1192
O  0.7329  0.5000  0.4659
Ti  0.1770  0.0000  0.3540
O  0.2302  0.0000  0.4605
O  0.2002  0.7589  0.8808
La  0.8857  0.5000  0.7714
O  0.0809  0.2487  0.6671
O  0.7998  0.7589  0.1192
O  0.4138  0.2487  0.3329
Nb  0.6776  0.5000  0.3552
Ti  0.9437  0.0000  0.8874
O  0.5862  0.7513  0.6671
O  0.1135  0.0000  0.2269
O  0.2671  0.5000  0.5341
Li  0.0000  0.2410  0.5000
O  0.3194  0.2411  0.1192
O  0.6136  0.5000  0.2273
Ti  0.4442  0.5000  0.8884
O  0.8865  0.0000  0.7731
O  0.6806  0.7589  0.8808
Ti  0.8230  0.0000  0.6460
La  0.5000  0.0000  0.0000
O  0.0000  0.0000  0.0000

Computed properties:
Its space group is Cmmm (65). The total energy comes out at -16.084 eV/atom.


6.
First-principles (meta-GGA SCAN) data for a PBEsol-optimized structure of ScCrAu2, as listed in the Alexandria database.

abc: 4.5544 4.5544 4.5544
angles: 60.00 60.00 60.00
Fractional coordinates of all 4 atoms:
Au  0.0000  0.0000  0.0000
Cr  0.5000  0.5000  0.5000
Sc  0.2500  0.2500  0.2500
Au  0.7500  0.7500  0.7500

Computed properties:
Its space group is F-43m (216). For the formation energy, the calculation gives -0.517 eV/atom.


7.
First-principles (meta-GGA SCAN) data for a PBEsol-optimized structure of GePS2Br, as listed in the Alexandria database.

abc: 4.7865 4.7865 4.7715
angles: 90.00 90.00 90.00
Fractional coordinates of all 5 atoms:
P  0.0000  0.0000  0.5000
Br  0.0000  0.0000  0.0000
S  0.0000  0.5000  0.0000
S  0.5000  0.0000  0.0000
Ge  0.5000  0.5000  0.5000

Computed properties:
Its space group is P4/mmm (123). The total energy comes out at -12.352 eV/atom.


8.
First-principles (meta-GGA SCAN) data for a PBEsol-optimized structure of HfMg3, as listed in the Alexandria database.

abc: 4.9311 4.9311 4.9311
angles: 60.00 60.00 60.00
Fractional coordinates of all 4 atoms:
Mg  0.5000  0.5000  0.5000
Hf  0.0000  0.0000  0.0000
Mg  0.2500  0.2500  0.2500
Mg  0.7500  0.7500  0.7500

Computed properties:
Its space group is Fm-3m (225). For the formation energy, the calculation gives 0.217 eV/atom.


9.
First-principles (meta-GGA SCAN) data for a PBEsol-optimized structure of Zr3As, as listed in the Alexandria database.

abc: 3.3898 3.3898 8.6612
angles: 90.00 90.00 120.00
Fractional coordinates of all 4 atoms:
Zr  0.3333  0.6667  0.2152
As  0.0000  0.0000  0.0000
Zr  0.3333  0.6667  0.7848
Zr  0.0000  0.0000  0.5000

Computed properties:
Its space group is P-6m2 (187). For the formation energy, the calculation gives -0.418 eV/atom.


10.
First-principles (meta-GGA SCAN) data for a PBEsol-optimized structure of MgTlPb2, as listed in the Alexandria database.

abc: 3.6194 5.5842 6.3398
angles: 116.13 106.59 90.00
Fractional coordinates of all 4 atoms:
Pb  0.9846  0.9846  0.9693
Mg  0.2462  0.7462  0.4925
Tl  0.5157  0.5157  0.0315
Pb  0.7534  0.2534  0.5068

Computed properties:
Its space group is Imm2 (44). For the formation energy, the calculation gives -0.026 eV/atom.


11.
First-principles (meta-GGA SCAN) data for a PBEsol-optimized structure of MnCrCuBi2, as listed in the Alexandria database.

abc: 4.6726 5.1128 5.1128
angles: 90.00 90.00 90.00
Fractional coordinates of all 5 atoms:
Cr  0.5000  0.0000  0.0000
Cu  0.0000  0.0000  0.0000
Mn  0.5000  0.5000  0.5000
Bi  0.0000  0.5000  0.0000
Bi  0.0000  0.0000  0.5000

Computed properties:
Its space group is P4/mmm (123). For the formation energy, the calculation gives 0.672 eV/atom.


12.
First-principles (meta-GGA SCAN) data for a PBEsol-optimized structure of K2ScInCl6, as listed in the Alexandria database.

abc: 7.6164 7.6164 7.6164
angles: 60.00 60.00 60.00
Fractional coordinates of all 10 atoms:
K  0.2500  0.2500  0.2500
K  0.7500  0.7500  0.7500
Sc  0.0000  0.0000  0.0000
Cl  0.7712  0.7712  0.2288
Cl  0.2288  0.7712  0.2288
In  0.5000  0.5000  0.5000
Cl  0.7712  0.2288  0.7712
Cl  0.2288  0.2288  0.7712
Cl  0.7712  0.2288  0.2288
Cl  0.2288  0.7712  0.7712

Computed properties:
Its space group is Fm-3m (225). The total energy comes out at -13.160 eV/atom.


13.
First-principles (meta-GGA SCAN) data for a PBEsol-optimized structure of Mo4AsCl, as listed in the Alexandria database.

abc: 5.2141 5.2141 5.2141
angles: 60.00 60.00 60.00
Fractional coordinates of all 6 atoms:
As  0.7500  0.7500  0.7500
Cl  0.0000  0.0000  0.0000
Mo  0.8832  0.3723  0.3723
Mo  0.3723  0.3723  0.3723
Mo  0.3723  0.8832  0.3723
Mo  0.3723  0.3723  0.8832

Computed properties:
Its space group is F-43m (216). The total energy comes out at -26.994 eV/atom.


14.
First-principles (meta-GGA SCAN) data for a PBEsol-optimized structure of ZnNiAg2, as listed in the Alexandria database.

abc: 2.7587 2.7587 8.8687
angles: 81.05 81.05 60.00
Fractional coordinates of all 4 atoms:
Zn  0.5000  0.5000  0.5000
Ag  0.7478  0.7478  0.7565
Ag  0.2522  0.2522  0.2435
Ni  0.0000  0.0000  0.0000

Computed properties:
Its space group is R-3m (166). For the formation energy, the calculation gives 0.176 eV/atom.


15.
First-principles (meta-GGA SCAN) data for a PBEsol-optimized structure of Zr2HgPb, as listed in the Alexandria database.

abc: 4.9704 4.9704 4.9704
angles: 60.00 60.00 60.00
Fractional coordinates of all 4 atoms:
Hg  0.0000  0.0000  0.0000
Zr  0.2500  0.2500  0.2500
Zr  0.7500  0.7500  0.7500
Pb  0.5000  0.5000  0.5000

Computed properties:
The energy above the lowest structure with this stoichiometry comes out at 150.5 meV per atom. Its space group is Fm-3m (225). For the formation energy, the calculation gives -0.230 eV/atom.


16.
First-principles (meta-GGA SCAN) data for a PBEsol-optimized structure of GeS2I, as listed in the Alexandria database.

abc: 3.7967 3.7967 8.1413
angles: 76.52 76.52 60.00
Fractional coordinates of all 4 atoms:
S  0.8902  0.8902  0.3295
I  0.0000  0.0000  0.0000
Ge  0.5000  0.5000  0.5000
S  0.1098  0.1098  0.6705

Computed properties:
Its space group is R-3m (166). The total energy comes out at -18.726 eV/atom.


17.
First-principles (meta-GGA SCAN) data for a PBEsol-optimized structure of PmYIn2, as listed in the Alexandria database.

abc: 5.2878 5.2878 5.2878
angles: 60.00 60.00 60.00
Fractional coordinates of all 4 atoms:
In  0.7500  0.7500  0.7500
Y  0.0000  0.0000  0.0000
In  0.2500  0.2500  0.2500
Pm  0.5000  0.5000  0.5000

Computed properties:
Its space group is Fm-3m (225). For the formation energy, the calculation gives -0.669 eV/atom.


18.
First-principles (meta-GGA SCAN) data for a PBEsol-optimized structure of LiNbC2Br, as listed in the Alexandria database.

abc: 3.8333 4.1945 4.1945
angles: 90.00 90.00 90.00
Fractional coordinates of all 5 atoms:
C  0.0000  0.0000  0.5000
Li  0.5000  0.0000  0.0000
C  0.0000  0.5000  0.0000
Nb  0.5000  0.5000  0.5000
Br  0.0000  0.0000  0.0000

Computed properties:
Its space group is P4/mmm (123). The total energy comes out at -12.660 eV/atom.


19.
First-principles (meta-GGA SCAN) data for a PBEsol-optimized structure of Y2MgW, as listed in the Alexandria database.

abc: 3.4241 3.4241 8.2803
angles: 90.00 90.00 90.00
Fractional coordinates of all 4 atoms:
Mg  0.5000  0.5000  0.0000
Y  0.0000  0.0000  0.2903
W  0.5000  0.5000  0.5000
Y  0.0000  0.0000  0.7097

Computed properties:
Its space group is P4/mmm (123). For the formation energy, the calculation gives 0.350 eV/atom.


20.
First-principles (meta-GGA SCAN) data for a PBEsol-optimized structure of LiSbP2O8, as listed in the Alexandria database.

abc: 4.8368 5.7560 9.9005
angles: 90.00 91.49 90.00
Fractional coordinates of all 24 atoms:
Li  0.4127  0.2500  0.7777
O  0.3603  0.7500  0.0574
O  0.2492  0.5354  0.3451
Sb  0.0497  0.2500  0.2779
O  0.6900  0.7500  0.8699
O  0.1979  0.7500  0.5652
O  0.8021  0.2500  0.4348
O  0.7508  0.4646  0.6549
P  0.6208  0.2500  0.0913
O  0.6397  0.2500  0.9426
O  0.7508  0.0354  0.6549
O  0.7947  0.7500  0.3948
O  0.3100  0.2500  0.1301
O  0.2175  0.5456  0.8304
O  0.7825  0.4544  0.1696
Sb  0.9503  0.7500  0.7221
O  0.2492  0.9646  0.3451
P  0.1001  0.7500  0.4123
O  0.2175  0.9544  0.8304
O  0.7825  0.0456  0.1696
O  0.2053  0.2500  0.6052
P  0.8999  0.2500  0.5877
Li  0.5873  0.7500  0.2223
P  0.3792  0.7500  0.9087

Computed properties:
Its space group is P2_1/m (11). The total energy comes out at -11.321 eV/atom.


no.,D(E_F) (states/eV/atom)
1,0.867
2,0.869
3,0.792
4,0.854
5,0.072
6,0.579
7,0.654
8,0.413
9,0.781
10,0.459
11,0.571
12,0.000
13,0.934
14,0.508
15,1.373
16,0.488
17,0.409
18,0.384
19,1.255
20,0.000